(1)
! Nd6ErIn5 | Alexandria via LeMat-Bulk | PBE | relaxed; values from VASP
! Formation enthalpy at 0 K: -0.3936 eV per atom
! VASP energy: -51.6 eV per formula unit
! SG: Immm (71)
&SYSTEM
  ibrav = 0, nat = 12, ntyp = 3
/
ATOMIC_SPECIES
Nd 144.24 Nd.upf
Er 167.26 Er.upf
In 114.82 In.upf
CELL_PARAMETERS angstrom
0.7041 -1.5213 -4.7866
8.4239 -2.7510 2.1135
-7.2806 -4.7967 3.1403
ATOMIC_POSITIONS crystal
Nd 0.1707 0.4311 0.3415
Nd 0.5000 0.2657 0.0000
Er 0.0000 0.0000 0.0000
In 0.6719 0.6719 0.3438
In 0.3281 0.3281 0.6562
In 0.6525 0.1525 0.3050
Nd 0.5000 0.7343 0.0000
In 0.3475 0.8475 0.6950
Nd 0.8292 0.0896 0.6585
In 0.0000 0.5000 0.0000
Nd 0.8293 0.5689 0.6585
Nd 0.1708 0.9104 0.3415

=====

(2)
! Nd4Er3In | Alexandria via LeMat-Bulk | PBE | relaxed; values from VASP
! Formation enthalpy at 0 K: -0.0794 eV per atom
! VASP energy: -36.1 eV per formula unit
! SG: Pmn2_1 (31)
&SYSTEM
  ibrav = 0, nat = 16, ntyp = 3
/
ATOMIC_SPECIES
Nd 144.24 Nd.upf
In 114.82 In.upf
Er 167.26 Er.upf
CELL_PARAMETERS angstrom
7.0242 0.0000 0.0000
0.0000 7.1028 0.0000
0.0000 0.0000 10.1019
ATOMIC_POSITIONS crystal
Nd 0.4998 0.8104 0.5000
In 0.4997 0.8106 0.0000
Nd 0.2474 0.5606 0.7504
Er 0.2581 0.0606 0.2500
Er 0.9999 0.3105 0.0000
Er 0.0001 0.8105 0.5000
Nd 0.9993 0.8108 0.0000
Er 0.2581 0.0606 0.7500
Nd 0.7526 0.0606 0.7496
In 0.5003 0.3106 0.5000
Nd 0.0007 0.3108 0.5000
Er 0.7419 0.5606 0.2500
Nd 0.5002 0.3104 0.0000
Nd 0.7526 0.0606 0.2504
Er 0.7419 0.5606 0.7500
Nd 0.2474 0.5606 0.2496

=====

(3)
! Nd8Er2In | Alexandria via LeMat-Bulk | PBE | relaxed; values from VASP
! Formation enthalpy at 0 K: -0.0679 eV per atom
! VASP energy: -50.8 eV per formula unit
! SG: C2/m (12)
&SYSTEM
  ibrav = 0, nat = 11, ntyp = 3
/
ATOMIC_SPECIES
Er 167.26 Er.upf
Nd 144.24 Nd.upf
In 114.82 In.upf
CELL_PARAMETERS angstrom
5.0564 0.0000 0.0000
0.0000 8.0979 0.4780
-2.5282 -3.0069 8.6767
ATOMIC_POSITIONS crystal
Er 0.2248 0.6329 0.4496
Er 0.7752 0.3671 0.5504
Nd 0.4092 0.5569 0.8185
Nd 0.0448 0.7287 0.0896
Nd 0.6789 0.9086 0.3577
Nd 0.9552 0.2713 0.9104
Nd 0.8631 0.8202 0.7262
In 0.5000 0.0000 0.0000
Nd 0.5908 0.4431 0.1815
Nd 0.3211 0.0914 0.6423
Nd 0.1369 0.1798 0.2738

=====

(4)
! Nd6Er3In | Alexandria via LeMat-Bulk | PBE | relaxed; values from VASP
! Formation enthalpy at 0 K: 0.0065 eV per atom
! VASP energy: -45.0 eV per formula unit
! SG: P2_1/m (11)
&SYSTEM
  ibrav = 0, nat = 20, ntyp = 3
/
ATOMIC_SPECIES
Er 167.26 Er.upf
Nd 144.24 Nd.upf
In 114.82 In.upf
CELL_PARAMETERS angstrom
-2.4473 -2.0078 1.7494
9.1628 -6.6151 5.2261
-0.3969 10.0069 10.9295
ATOMIC_POSITIONS crystal
Er 0.2500 0.0517 0.8019
Er 0.7500 0.5725 0.6824
Er 0.7500 0.9483 0.1981
Nd 0.7500 0.4396 0.1070
Nd 0.7500 0.7934 0.8149
Nd 0.7500 0.1902 0.3913
Nd 0.2500 0.5604 0.8930
Er 0.2500 0.0998 0.5796
Nd 0.2500 0.3804 0.5460
In 0.2500 0.3069 0.9425
Er 0.7500 0.9002 0.4204
Nd 0.7500 0.6196 0.4540
Nd 0.7500 0.2981 0.7492
Nd 0.2500 0.7019 0.2508
In 0.7500 0.6931 0.0575
Nd 0.2500 0.2066 0.1851
Nd 0.2500 0.8098 0.6087
Nd 0.7500 0.1103 0.0021
Er 0.2500 0.4275 0.3176
Nd 0.2500 0.8897 0.9979

=====

(5)
! Nd12ErIn6 | Alexandria via LeMat-Bulk | PBE | relaxed; values from VASP
! Formation enthalpy at 0 K: -0.2389 eV per atom
! VASP energy: -82.7 eV per formula unit
! SG: R-3 (148)
&SYSTEM
  ibrav = 0, nat = 19, ntyp = 3
/
ATOMIC_SPECIES
In 114.82 In.upf
Nd 144.24 Nd.upf
Er 167.26 Er.upf
CELL_PARAMETERS angstrom
-2.1859 6.4390 -4.8970
1.2161 -4.6377 -6.8726
-8.0055 -2.4745 0.0881
ATOMIC_POSITIONS crystal
In 0.7303 0.8785 0.2554
Nd 0.1242 0.3827 0.0721
Nd 0.0721 0.1242 0.3827
Nd 0.4736 0.5647 0.1911
Nd 0.5264 0.4353 0.8089
Nd 0.1911 0.4736 0.5647
Nd 0.9279 0.8758 0.6173
Nd 0.3827 0.0721 0.1242
Nd 0.6173 0.9279 0.8758
Nd 0.4353 0.8089 0.5264
Nd 0.8089 0.5264 0.4353
Nd 0.5647 0.1911 0.4736
In 0.2697 0.1215 0.7446
In 0.7446 0.2697 0.1215
In 0.8785 0.2554 0.7303
Nd 0.8758 0.6173 0.9279
In 0.1215 0.7446 0.2697
In 0.2554 0.7303 0.8785
Er 0.0000 0.0000 0.0000

=====

(6)
! Nd8ErIn2 | Alexandria via LeMat-Bulk | PBE | relaxed; values from VASP
! Formation enthalpy at 0 K: -0.0625 eV per atom
! VASP energy: -48.9 eV per formula unit
! SG: C2/m (12)
&SYSTEM
  ibrav = 0, nat = 11, ntyp = 3
/
ATOMIC_SPECIES
Er 167.26 Er.upf
Nd 144.24 Nd.upf
In 114.82 In.upf
CELL_PARAMETERS angstrom
5.8270 -0.4326 -0.6493
-1.5615 8.8645 -0.8153
-1.5615 -4.1665 7.8667
ATOMIC_POSITIONS crystal
Er 0.5000 0.0000 0.0000
Nd 0.2928 0.5922 0.5922
Nd 0.1288 0.0942 0.3236
Nd 0.5000 0.2163 0.7837
Nd 0.1288 0.3236 0.0942
Nd 0.7072 0.4078 0.4078
Nd 0.8712 0.9058 0.6764
Nd 0.8712 0.6764 0.9058
In 0.0000 0.3063 0.6937
Nd 0.5000 0.7837 0.2163
In 0.0000 0.6937 0.3063

=====

(7)
! Nd2ErIn9 | Alexandria via LeMat-Bulk | PBE | relaxed; values from VASP
! Formation enthalpy at 0 K: -0.4418 eV per atom
! VASP energy: -44.0 eV per formula unit
! SG: P4/mmm (123)
&SYSTEM
  ibrav = 0, nat = 12, ntyp = 3
/
ATOMIC_SPECIES
In 114.82 In.upf
Nd 144.24 Nd.upf
Er 167.26 Er.upf
CELL_PARAMETERS angstrom
-1.7006 4.1438 1.3838
0.5772 -1.2588 4.4789
12.9705 5.3766 -0.1605
ATOMIC_POSITIONS crystal
In 0.0000 0.5000 0.5000
In 0.0000 0.5000 0.8379
Nd 0.0000 0.0000 0.6687
In 0.5000 0.0000 0.1621
In 0.5000 0.0000 0.8379
In 0.5000 0.5000 0.6674
Er 0.0000 0.0000 0.0000
In 0.5000 0.0000 0.5000
In 0.5000 0.5000 0.3326
In 0.5000 0.5000 0.0000
Nd 0.0000 0.0000 0.3313
In 0.0000 0.5000 0.1621

=====

(8)
! NdErInPb | Alexandria via LeMat-Bulk | PBE | relaxed; values from VASP
! Formation enthalpy at 0 K: -0.4099 eV per atom
! VASP energy: -17.4 eV per formula unit
! SG: F-43m (216)
&SYSTEM
  ibrav = 0, nat = 4, ntyp = 4
/
ATOMIC_SPECIES
Pb 207.20 Pb.upf
Er 167.26 Er.upf
Nd 144.24 Nd.upf
In 114.82 In.upf
CELL_PARAMETERS angstrom
5.4496 0.0000 0.0000
2.7248 4.7195 0.0000
2.7248 1.5732 4.4496
ATOMIC_POSITIONS crystal
Pb 0.5000 0.5000 0.5000
Er 0.7500 0.7500 0.7500
Nd 0.2500 0.2500 0.2500
In 0.0000 0.0000 0.0000

=====

(9)
! NdErInPb | Alexandria via LeMat-Bulk | PBE | relaxed; values from VASP
! Formation enthalpy at 0 K: -0.4551 eV per atom
! VASP energy: -17.6 eV per formula unit
! SG: I-4m2 (119)
&SYSTEM
  ibrav = 0, nat = 4, ntyp = 4
/
ATOMIC_SPECIES
In 114.82 In.upf
Pb 207.20 Pb.upf
Nd 144.24 Nd.upf
Er 167.26 Er.upf
CELL_PARAMETERS angstrom
-0.6734 4.9479 -0.4617
0.2842 -0.4268 -4.9886
-4.2463 -2.8836 2.5257
ATOMIC_POSITIONS crystal
In 0.0000 0.0000 0.0000
Pb 0.5000 0.5000 0.0000
Nd 0.7500 0.2500 0.5000
Er 0.2500 0.7500 0.5000

=====

(10)
! NdErInPd | Alexandria via LeMat-Bulk | PBE | relaxed; values from VASP
! Formation enthalpy at 0 K: -0.5622 eV per atom
! VASP energy: -19.5 eV per formula unit
! SG: F-43m (216)
&SYSTEM
  ibrav = 0, nat = 4, ntyp = 4
/
ATOMIC_SPECIES
Er 167.26 Er.upf
Pd 106.42 Pd.upf
Nd 144.24 Nd.upf
In 114.82 In.upf
CELL_PARAMETERS angstrom
-0.0019 -3.6149 -3.7737
-2.1302 -4.6907 0.8762
-4.4758 -1.3179 -2.3535
ATOMIC_POSITIONS crystal
Er 0.2500 0.2500 0.2500
Pd 0.0000 0.0000 0.0000
Nd 0.7500 0.7500 0.7500
In 0.5000 0.5000 0.5000

=====

(11)
! PmNdErIn | Alexandria via LeMat-Bulk | PBE | relaxed; values from VASP
! Formation enthalpy at 0 K: -0.2296 eV per atom
! VASP energy: -17.7 eV per formula unit
! SG: I-4m2 (119)
&SYSTEM
  ibrav = 0, nat = 4, ntyp = 4
/
ATOMIC_SPECIES
Pm 145.00 Pm.upf
Nd 144.24 Nd.upf
In 114.82 In.upf
Er 167.26 Er.upf
CELL_PARAMETERS angstrom
4.8552 0.0000 0.0000
0.0000 4.8552 0.0000
-2.4276 -2.4276 5.0445
ATOMIC_POSITIONS crystal
Pm 0.2500 0.7500 0.5000
Nd 0.5000 0.5000 0.0000
In 0.0000 0.0000 0.0000
Er 0.7500 0.2500 0.5000

=====

(12)
! PmNd2ErIn2 | Alexandria via LeMat-Bulk | PBE | relaxed; values from VASP
! Formation enthalpy at 0 K: -0.3478 eV per atom
! VASP energy: -26.4 eV per formula unit
! SG: Pmc2_1 (26)
&SYSTEM
  ibrav = 0, nat = 12, ntyp = 4
/
ATOMIC_SPECIES
In 114.82 In.upf
Er 167.26 Er.upf
Nd 144.24 Nd.upf
Pm 145.00 Pm.upf
CELL_PARAMETERS angstrom
5.2779 0.0000 0.0000
0.0000 6.8526 0.0000
0.0000 0.0000 10.0708
ATOMIC_POSITIONS crystal
In 0.0000 0.2952 0.8509
In 0.5000 0.7228 0.6348
Er 0.5000 0.1917 0.6813
In 0.0000 0.7952 0.1491
Nd 0.0000 0.8234 0.8200
Pm 0.0000 0.9687 0.4602
Pm 0.0000 0.4687 0.5398
Nd 0.5000 0.5438 0.9580
Nd 0.5000 0.0438 0.0420
Nd 0.0000 0.3234 0.1800
In 0.5000 0.2228 0.3652
Er 0.5000 0.6917 0.3187

=====

(13)
! Pm3Nd6Er2In | Alexandria via LeMat-Bulk | PBE | relaxed; values from VASP
! Formation enthalpy at 0 K: -0.0295 eV per atom
! VASP energy: -55.1 eV per formula unit
! SG: C2/m (12)
&SYSTEM
  ibrav = 0, nat = 12, ntyp = 4
/
ATOMIC_SPECIES
Nd 144.24 Nd.upf
Pm 145.00 Pm.upf
Er 167.26 Er.upf
In 114.82 In.upf
CELL_PARAMETERS angstrom
-3.3632 3.8280 -3.6570
-2.2302 -5.6536 1.5496
-3.1410 5.2129 10.1768
ATOMIC_POSITIONS crystal
Nd 0.2464 0.2464 0.7549
Nd 0.4061 0.0794 0.2426
Nd 0.0794 0.4061 0.2426
Nd 0.5939 0.9206 0.7574
Pm 0.5000 0.5000 0.5000
Pm 0.1690 0.8310 0.5000
Nd 0.9206 0.5939 0.7574
Er 0.6659 0.3341 0.0000
Nd 0.7536 0.7536 0.2451
Er 0.3341 0.6659 0.0000
Pm 0.8310 0.1690 0.5000
In 0.0000 0.0000 0.0000

=====

(14)
! Pm6Nd3Er2In | Alexandria via LeMat-Bulk | PBE | relaxed; values from VASP
! Formation enthalpy at 0 K: -0.0308 eV per atom
! VASP energy: -55.0 eV per formula unit
! SG: C2/m (12)
&SYSTEM
  ibrav = 0, nat = 12, ntyp = 4
/
ATOMIC_SPECIES
Nd 144.24 Nd.upf
Pm 145.00 Pm.upf
Er 167.26 Er.upf
In 114.82 In.upf
CELL_PARAMETERS angstrom
-4.1983 -4.4651 -1.2714
5.5603 0.0022 -2.8743
3.9445 -5.0500 9.9396
ATOMIC_POSITIONS crystal
Nd 0.5000 0.5000 0.5000
Pm 0.5943 0.9208 0.7583
Nd 0.8311 0.1689 0.5000
Pm 0.4057 0.0792 0.2417
Pm 0.7535 0.7535 0.2439
Pm 0.9208 0.5943 0.7583
Er 0.6660 0.3340 0.0000
Nd 0.1689 0.8311 0.5000
Er 0.3340 0.6660 0.0000
In 0.0000 0.0000 0.0000
Pm 0.0792 0.4057 0.2417
Pm 0.2465 0.2465 0.7561

=====

(15)
! PmNdErIn | Alexandria via LeMat-Bulk | PBE | relaxed; values from VASP
! Formation enthalpy at 0 K: -0.1076 eV per atom
! VASP energy: -17.3 eV per formula unit
! SG: F-43m (216)
&SYSTEM
  ibrav = 0, nat = 4, ntyp = 4
/
ATOMIC_SPECIES
Nd 144.24 Nd.upf
Pm 145.00 Pm.upf
In 114.82 In.upf
Er 167.26 Er.upf
CELL_PARAMETERS angstrom
-3.8746 1.2055 -3.7592
-2.8859 -4.0641 -2.3984
-5.3503 -0.6877 1.2243
ATOMIC_POSITIONS crystal
Nd 0.5000 0.5000 0.5000
Pm 0.2500 0.2500 0.2500
In 0.7500 0.7500 0.7500
Er 0.0000 0.0000 0.0000

=====

(16)
! Pr3Nd6Er2In | Alexandria via LeMat-Bulk | PBE | relaxed; values from VASP
! Formation enthalpy at 0 K: -0.0279 eV per atom
! VASP energy: -55.1 eV per formula unit
! SG: C2/m (12)
&SYSTEM
  ibrav = 0, nat = 12, ntyp = 4
/
ATOMIC_SPECIES
Pr 140.91 Pr.upf
Nd 144.24 Nd.upf
Er 167.26 Er.upf
In 114.82 In.upf
CELL_PARAMETERS angstrom
-5.2120 2.3336 -2.6787
2.7016 -5.2121 -2.3069
-5.7231 -5.5673 8.8255
ATOMIC_POSITIONS crystal
Pr 0.8304 0.1696 0.5000
Nd 0.2466 0.2466 0.7567
Nd 0.9216 0.5957 0.7595
Er 0.3344 0.6656 0.0000
In 0.0000 0.0000 0.0000
Nd 0.0784 0.4043 0.2405
Pr 0.5000 0.5000 0.5000
Nd 0.4043 0.0784 0.2405
Nd 0.5957 0.9216 0.7595
Pr 0.1696 0.8304 0.5000
Nd 0.7534 0.7534 0.2433
Er 0.6656 0.3344 0.0000

=====

(17)
! Pr2Nd2Er2In | Alexandria via LeMat-Bulk | PBE | relaxed; values from VASP
! Formation enthalpy at 0 K: -0.0331 eV per atom
! VASP energy: -31.2 eV per formula unit
! SG: C2/m (12)
&SYSTEM
  ibrav = 0, nat = 7, ntyp = 4
/
ATOMIC_SPECIES
Nd 144.24 Nd.upf
Er 167.26 Er.upf
Pr 140.91 Pr.upf
In 114.82 In.upf
CELL_PARAMETERS angstrom
3.7142 0.0000 0.0000
-1.8571 6.0546 -1.2882
0.0000 -3.1728 11.1355
ATOMIC_POSITIONS crystal
Nd 0.3158 0.6315 0.9076
Er 0.7356 0.4712 0.6156
Pr 0.5173 0.0347 0.7437
Nd 0.6842 0.3685 0.0924
Pr 0.4827 0.9653 0.2563
In 0.0000 0.0000 0.5000
Er 0.2644 0.5288 0.3844

=====

(18)
! Pr6Nd3Er2In | Alexandria via LeMat-Bulk | PBE | relaxed; values from VASP
! Formation enthalpy at 0 K: -0.0264 eV per atom
! VASP energy: -55.2 eV per formula unit
! SG: C2/m (12)
&SYSTEM
  ibrav = 0, nat = 12, ntyp = 4
/
ATOMIC_SPECIES
Pr 140.91 Pr.upf
Er 167.26 Er.upf
In 114.82 In.upf
Nd 144.24 Nd.upf
CELL_PARAMETERS angstrom
-2.8666 0.4079 -5.6221
-2.6979 -3.2123 4.7322
-3.5567 10.7338 3.8108
ATOMIC_POSITIONS crystal
Pr 0.4057 0.0794 0.2415
Pr 0.5943 0.9206 0.7585
Er 0.3344 0.6656 0.0000
In 0.0000 0.0000 0.0000
Pr 0.2459 0.2459 0.7557
Pr 0.0794 0.4057 0.2415
Nd 0.5000 0.5000 0.5000
Nd 0.8303 0.1697 0.5000
Er 0.6656 0.3344 0.0000
Pr 0.9206 0.5943 0.7585
Nd 0.1697 0.8303 0.5000
Pr 0.7541 0.7541 0.2443

=====

(19)
! Pr6Nd2Er3In | Alexandria via LeMat-Bulk | PBE | relaxed; values from VASP
! Formation enthalpy at 0 K: -0.0475 eV per atom
! VASP energy: -55.2 eV per formula unit
! SG: C2/m (12)
&SYSTEM
  ibrav = 0, nat = 12, ntyp = 4
/
ATOMIC_SPECIES
Er 167.26 Er.upf
Pr 140.91 Pr.upf
Nd 144.24 Nd.upf
In 114.82 In.upf
CELL_PARAMETERS angstrom
6.2518 -0.0064 -0.0034
-3.1299 5.4119 -0.0034
-1.0383 -1.7979 11.7692
ATOMIC_POSITIONS crystal
Er 0.5000 0.5000 0.5000
Pr 0.0839 0.4095 0.2522
Pr 0.9161 0.5905 0.7478
Pr 0.7588 0.7588 0.2527
Nd 0.6666 0.3334 0.0000
In 0.0000 0.0000 0.0000
Nd 0.3334 0.6666 0.0000
Pr 0.2412 0.2412 0.7473
Er 0.8328 0.1672 0.5000
Er 0.1672 0.8328 0.5000
Pr 0.5905 0.9161 0.7478
Pr 0.4095 0.0839 0.2522

=====

(20)
! PrNdErIn | Alexandria via LeMat-Bulk | PBE | relaxed; values from VASP
! Formation enthalpy at 0 K: -0.0972 eV per atom
! VASP energy: -17.2 eV per formula unit
! SG: F-43m (216)
&SYSTEM
  ibrav = 0, nat = 4, ntyp = 4
/
ATOMIC_SPECIES
Pr 140.91 Pr.upf
Er 167.26 Er.upf
Nd 144.24 Nd.upf
In 114.82 In.upf
CELL_PARAMETERS angstrom
5.5541 0.0000 0.0000
2.7771 4.8100 0.0000
2.7771 1.6033 4.5349
ATOMIC_POSITIONS crystal
Pr 0.7500 0.7500 0.7500
Er 0.5000 0.5000 0.5000
Nd 0.0000 0.0000 0.0000
In 0.2500 0.2500 0.2500

=====

(21)
! NdErInPt | Alexandria via LeMat-Bulk | PBE | relaxed; values from VASP
! Formation enthalpy at 0 K: -0.6953 eV per atom
! VASP energy: -20.9 eV per formula unit
! SG: F-43m (216)
&SYSTEM
  ibrav = 0, nat = 4, ntyp = 4
/
ATOMIC_SPECIES
Nd 144.24 Nd.upf
In 114.82 In.upf
Er 167.26 Er.upf
Pt 195.08 Pt.upf
CELL_PARAMETERS angstrom
5.1963 0.0000 0.0000
2.5981 4.5001 0.0000
2.5981 1.5000 4.2427
ATOMIC_POSITIONS crystal
Nd 0.0000 0.0000 0.0000
In 0.2500 0.2500 0.2500
Er 0.5000 0.5000 0.5000
Pt 0.7500 0.7500 0.7500

=====

(22)
! Nd2ErIn2Rh5 | Alexandria via LeMat-Bulk | PBE | relaxed; values from VASP
! Formation enthalpy at 0 K: -0.5265 eV per atom
! VASP energy: -61.6 eV per formula unit
! SG: P4/mbm (127)
&SYSTEM
  ibrav = 0, nat = 20, ntyp = 4
/
ATOMIC_SPECIES
In 114.82 In.upf
Rh 102.91 Rh.upf
Nd 144.24 Nd.upf
Er 167.26 Er.upf
CELL_PARAMETERS angstrom
-2.0549 2.4451 -1.9117
-5.3034 -7.8910 -4.3922
-6.9378 0.2990 7.8398
ATOMIC_POSITIONS crystal
In 0.0000 0.1274 0.6274
Rh 0.5000 0.5000 0.0000
In 0.0000 0.6274 0.8726
Rh 0.5000 0.9380 0.2015
Nd 0.0000 0.6704 0.1704
Rh 0.5000 0.5620 0.7015
Nd 0.0000 0.3296 0.8296
Rh 0.5000 0.2015 0.0620
Er 0.0000 0.5000 0.5000
Rh 0.5000 0.0620 0.7985
Rh 0.5000 0.0000 0.5000
Rh 0.5000 0.2985 0.5620
Nd 0.0000 0.1704 0.3296
Rh 0.5000 0.7985 0.9380
Er 0.0000 0.0000 0.0000
Rh 0.5000 0.4380 0.2985
Nd 0.0000 0.8296 0.6704
In 0.0000 0.8726 0.3726
Rh 0.5000 0.7015 0.4380
In 0.0000 0.3726 0.1274